Ca2Cd5Pd3 | PBE | relaxed

The total magnetization comes out at 0.00 μB/atom. Its energy of formation is -4.50 eV per formula unit. The calculation puts the raw total energy at -2.866 eV per atom.

The structure belongs to space group Cmc2_1 (No. 36); the cell edges are 4.342, 27.270 and 7.517 Å and the angles 90.00°, 90.00° and 90.00°. The asymmetric unit holds Ca at (0.000, 0.025, 0.000), Ca at (0.000, 0.323, 0.101), Cd at (0.000, 0.100, 0.388), Cd at (0.000, 0.205, 0.300), Cd at (0.000, 0.206, 0.905), Cd at (0.000, 0.374, 0.545), Cd at (0.000, 0.446, 0.167), Pd at (0.000, 0.113, 0.770), Pd at (0.000, 0.264, 0.603) and Pd at (0.000, 0.458, 0.785).

ZrAg2P | PBE | relaxed

The total magnetization comes out at 0.00 μB/atom. Its energy of formation is -1.25 eV per formula unit. The calculation puts the raw total energy at -5.226 eV per atom.

The structure belongs to space group P4/mmm (No. 123); the cell edges are 3.826, 3.826 and 4.980 Å and the angles 90.00°, 90.00° and 90.00°. The asymmetric unit holds Zr at (0.000, 0.000, 0.000), Ag at (0.000, 0.500, 0.500) and P at (0.500, 0.500, 0.000).

Tb4NdY3Se8 | PBE | relaxed

The total magnetization comes out at 0.00 μB/atom. The value obtained for the formation energy from raw total energies is -1771 meV/atom. The calculation puts the raw total energy at -6.181 eV per atom.

The structure belongs to space group R-3m (No. 166, hexagonal axes); the cell edges are 8.2240, 8.2240 and 20.1335 Å and the angles 90.00°, 90.00° and 120.00°. The asymmetric unit holds Tb at (0.0000, 0.0000, 0.0000), Tb at (0.0000, 0.5000, 0.0000), Nd at (0.0000, 0.0000, 0.5000), Y at (0.0000, 0.5000, 0.5000), Se at (0.0000, 0.0000, 0.2497) and Se at (0.0059, 0.5030, 0.7488).

SrCa2CoCl8 | PBE | relaxed

The total magnetization comes out at 0.25 μB/atom. The value obtained for the formation energy from raw total energies is -1900 meV/atom. The calculation puts the raw total energy at -4.197 eV per atom.

The structure belongs to space group P2/m (No. 10); the cell edges are 6.227, 8.279 and 6.439 Å and the angles 90.00°, 90.75° and 90.00°. The asymmetric unit holds Sr at (0.000, 0.000, 0.000), Ca at (0.500, 0.265, 0.500), Co at (0.000, 0.500, 0.000), Cl at (0.213, 0.285, 0.167), Cl at (0.260, 0.500, 0.693) and Cl at (0.287, 0.000, 0.656).

> The highest raw total energy belongs to which entry?

Ca2Cd5Pd3

Please write out number 3 again, unchanged.
Tb4NdY3Se8 | PBE | relaxed

The total magnetization comes out at 0.00 μB/atom. The value obtained for the formation energy from raw total energies is -1771 meV/atom. The calculation puts the raw total energy at -6.181 eV per atom.

The structure belongs to space group R-3m (No. 166, hexagonal axes); the cell edges are 8.2240, 8.2240 and 20.1335 Å and the angles 90.00°, 90.00° and 120.00°. The asymmetric unit holds Tb at (0.0000, 0.0000, 0.0000), Tb at (0.0000, 0.5000, 0.0000), Nd at (0.0000, 0.0000, 0.5000), Y at (0.0000, 0.5000, 0.5000), Se at (0.0000, 0.0000, 0.2497) and Se at (0.0059, 0.5030, 0.7488).

> What is the raw total energy in the fourth record?

-4.197 eV per atom

Please write out number 3 again, unchanged.
Tb4NdY3Se8 | PBE | relaxed

The total magnetization comes out at 0.00 μB/atom. The value obtained for the formation energy from raw total energies is -1771 meV/atom. The calculation puts the raw total energy at -6.181 eV per atom.

The structure belongs to space group R-3m (No. 166, hexagonal axes); the cell edges are 8.2240, 8.2240 and 20.1335 Å and the angles 90.00°, 90.00° and 120.00°. The asymmetric unit holds Tb at (0.0000, 0.0000, 0.0000), Tb at (0.0000, 0.5000, 0.0000), Nd at (0.0000, 0.0000, 0.5000), Y at (0.0000, 0.5000, 0.5000), Se at (0.0000, 0.0000, 0.2497) and Se at (0.0059, 0.5030, 0.7488).